No. 1
VASP calculation (PBE-GGA) on a relaxed TiVBi crystal.

```
TiVBi
1.0
3.500 0.000 0.000
0.000 3.500 0.000
-1.750 -1.750 4.482
V Ti Bi
1 1 1
Cartesian
1.750 1.750 3.942
0.000 0.000 2.650
1.750 1.750 1.027
```

Calculated values
* ρ: 9306 kg/m3
* total magnetization: 0.00 μB/cell
* energy above the lowest structure with this stoichiometry: 0.35 eV per formula unit
* raw total energy: -6.879 eV/atom

---

No. 2
VASP calculation (PBE-GGA) on a relaxed TiVBi crystal.

```
TiVBi
1.0
3.259 0.000 0.000
0.000 3.259 0.000
-1.629 -1.629 12.176
Bi V Ti
2 2 2
Cartesian
1.629 1.629 1.939
0.000 0.000 10.236
1.629 1.629 5.416
0.000 0.000 6.760
1.629 1.629 8.183
0.000 0.000 3.993
```

Calculated values
* ρ: 7905 kg/m3
* total magnetization: 0.00 μB/cell
* energy above the lowest structure with this stoichiometry: 0.00 eV per formula unit
* raw total energy: -6.996 eV/atom

---

No. 3
VASP calculation (PBE-GGA) on a relaxed Ti2VBi crystal.

```
Ti2VBi
1.0
-0.562 -2.845 -1.496
5.571 0.176 -2.427
3.128 -2.425 7.014
Ti V Bi
4 2 2
Cartesian
3.452 -3.388 5.118
4.174 -2.319 -0.765
6.236 -3.300 3.905
1.390 -2.407 0.448
5.316 -0.131 -1.796
2.531 -0.219 -0.583
4.094 -1.431 2.925
6.599 -2.766 0.963
```

Calculated values
* ρ: 7551 kg/m3
* total magnetization: 0.00 μB/cell
* raw total energy: -7.119 eV/atom